Below is a geometry-optimized LaMgPb structure, with properties calculated at the GGA-PBEsol level.

Values from the calculation:
The value obtained for the total energy is -3.966 eV/atom. The calculation puts the density of states at the Fermi level at 2.36 states/eV/f.u. The value obtained for the energy relative to the elements is -0.84 eV per formula unit.

a = 3.6888 Å, b = 3.6888 Å, c = 12.4152 Å
α = 90.00°, β = 90.00°, γ = 90.00°
Space group I4mm (No. 107)
Asymmetric unit:
La (0.0000, 0.0000, 0.0000) x2
Mg (0.0000, 0.0000, 0.6838) x2
Pb (0.0000, 0.0000, 0.3140) x2